# HfBe2Cu2 (GGA-PBE, optimized geometry)
data_HfBe2Cu2
_space_group_name_H-M_alt 'P 1'
_space_group_IT_number 1
_space_group_name_Hall 'P 1'
_cell_length_a 5.027
_cell_length_b 5.027
_cell_length_c 5.027
_cell_angle_alpha 135.07
_cell_angle_beta 135.07
_cell_angle_gamma 65.42
loop_
_atom_site_label
_atom_site_type_symbol
_atom_site_fract_x
_atom_site_fract_y
_atom_site_fract_z
Hf1 Hf 0.000 0.000 0.000
Cu1 Cu 0.366 0.366 0.000
Cu2 Cu 0.634 0.634 0.000
Be1 Be 0.250 0.750 0.500
Be2 Be 0.750 0.250 0.500
# total energy = -5.022 eV/atom
# space group = I4/mmm


# LiTbHg3S4 (GGA-PBE, optimized geometry)
data_LiTbHg3S4
_space_group_name_H-M_alt 'P 1'
_space_group_IT_number 1
_space_group_name_Hall 'P 1'
_cell_length_a 6.374
_cell_length_b 7.684
_cell_length_c 11.635
_cell_angle_alpha 90.00
_cell_angle_beta 90.88
_cell_angle_gamma 90.00
loop_
_atom_site_label
_atom_site_type_symbol
_atom_site_fract_x
_atom_site_fract_y
_atom_site_fract_z
Hg1 Hg 0.701 0.523 0.045
Hg2 Hg 0.299 0.477 0.955
Hg3 Hg 0.864 0.250 0.334
Hg4 Hg 0.701 0.977 0.045
Hg5 Hg 0.299 0.023 0.955
Hg6 Hg 0.136 0.750 0.666
S1 S 0.359 0.492 0.730
S2 S 0.045 0.250 0.056
S3 S 0.641 0.992 0.270
S4 S 0.955 0.750 0.944
S5 S 0.641 0.508 0.270
S6 S 0.213 0.250 0.414
S7 S 0.787 0.750 0.586
S8 S 0.359 0.008 0.730
Tb1 Tb 0.382 0.250 0.215
Tb2 Tb 0.618 0.750 0.785
Li1 Li 0.266 0.250 0.614
Li2 Li 0.734 0.750 0.386
# total energy = -3.321 eV/atom
# space group = P2_1/m


# MgCdFeSn (GGA-PBE, optimized geometry)
data_MgCdFeSn
_space_group_name_H-M_alt 'P 1'
_space_group_IT_number 1
_space_group_name_Hall 'P 1'
_cell_length_a 4.694
_cell_length_b 4.694
_cell_length_c 4.694
_cell_angle_alpha 60.00
_cell_angle_beta 60.00
_cell_angle_gamma 60.00
loop_
_atom_site_label
_atom_site_type_symbol
_atom_site_fract_x
_atom_site_fract_y
_atom_site_fract_z
Cd1 Cd 0.500 0.500 0.500
Fe1 Fe 0.750 0.750 0.750
Sn1 Sn 0.000 0.000 0.000
Mg1 Mg 0.250 0.250 0.250
# total energy = -3.436 eV/atom
# space group = F-43m


# LaInPd (GGA-PBE, optimized geometry)
data_LaInPd
_space_group_name_H-M_alt 'P 1'
_space_group_IT_number 1
_space_group_name_Hall 'P 1'
_cell_length_a 4.924
_cell_length_b 4.924
_cell_length_c 4.924
_cell_angle_alpha 60.00
_cell_angle_beta 60.00
_cell_angle_gamma 60.00
loop_
_atom_site_label
_atom_site_type_symbol
_atom_site_fract_x
_atom_site_fract_y
_atom_site_fract_z
La1 La 0.250 0.250 0.250
Pd1 Pd 0.750 0.750 0.750
In1 In 0.000 0.000 0.000
# total energy = -4.492 eV/atom
# space group = F-43m


# InSn2Ir (GGA-PBE, optimized geometry)
data_InSn2Ir
_space_group_name_H-M_alt 'P 1'
_space_group_IT_number 1
_space_group_name_Hall 'P 1'
_cell_length_a 4.948
_cell_length_b 4.948
_cell_length_c 4.948
_cell_angle_alpha 60.00
_cell_angle_beta 60.00
_cell_angle_gamma 60.00
loop_
_atom_site_label
_atom_site_type_symbol
_atom_site_fract_x
_atom_site_fract_y
_atom_site_fract_z
Ir1 Ir 0.250 0.250 0.250
In1 In 0.500 0.500 0.500
Sn1 Sn 0.000 0.000 0.000
Sn2 Sn 0.750 0.750 0.750
# total energy = -4.625 eV/atom
# space group = F-43m


# Y2AlSnPd4 (GGA-PBE, optimized geometry)
data_Y2AlSnPd4
_space_group_name_H-M_alt 'P 1'
_space_group_IT_number 1
_space_group_name_Hall 'P 1'
_cell_length_a 4.468
_cell_length_b 4.468
_cell_length_c 9.072
_cell_angle_alpha 90.00
_cell_angle_beta 90.00
_cell_angle_gamma 120.00
loop_
_atom_site_label
_atom_site_type_symbol
_atom_site_fract_x
_atom_site_fract_y
_atom_site_fract_z
Y1 Y 0.333 0.667 0.246
Y2 Y 0.667 0.333 0.754
Pd1 Pd 0.667 0.333 0.412
Pd2 Pd 0.667 0.333 0.077
Pd3 Pd 0.333 0.667 0.588
Pd4 Pd 0.333 0.667 0.923
Al1 Al 0.000 0.000 0.000
Sn1 Sn 0.000 0.000 0.500
# total energy = -6.074 eV/atom
# space group = P-3m1


# MgNbClO2 (GGA-PBE, optimized geometry)
data_MgNbClO2
_space_group_name_H-M_alt 'P 1'
_space_group_IT_number 1
_space_group_name_Hall 'P 1'
_cell_length_a 5.275
_cell_length_b 3.744
_cell_length_c 7.175
_cell_angle_alpha 90.00
_cell_angle_beta 98.22
_cell_angle_gamma 90.00
loop_
_atom_site_label
_atom_site_type_symbol
_atom_site_fract_x
_atom_site_fract_y
_atom_site_fract_z
O1 O 0.546 0.750 0.145
O2 O 0.454 0.250 0.855
O3 O 0.586 0.250 0.427
O4 O 0.414 0.750 0.573
Nb1 Nb 0.246 0.250 0.580
Nb2 Nb 0.754 0.750 0.420
Mg1 Mg 0.439 0.250 0.135
Mg2 Mg 0.561 0.750 0.865
Cl1 Cl 0.016 0.250 0.229
Cl2 Cl 0.984 0.750 0.771
# total energy = -6.579 eV/atom
# space group = P2_1/m


# NbFeGePd (GGA-PBE, optimized geometry)
data_NbFeGePd
_space_group_name_H-M_alt 'P 1'
_space_group_IT_number 1
_space_group_name_Hall 'P 1'
_cell_length_a 4.411
_cell_length_b 4.411
_cell_length_c 4.411
_cell_angle_alpha 60.00
_cell_angle_beta 60.00
_cell_angle_gamma 60.00
loop_
_atom_site_label
_atom_site_type_symbol
_atom_site_fract_x
_atom_site_fract_y
_atom_site_fract_z
Pd1 Pd 0.500 0.500 0.500
Fe1 Fe 0.750 0.750 0.750
Ge1 Ge 0.000 0.000 0.000
Nb1 Nb 0.250 0.250 0.250
# total energy = -7.143 eV/atom
# space group = F-43m


Among the records above, which one has the highest total energy? LiTbHg3S4


Which formula does entry 7 have? MgNbClO2


Which formula does entry 7 have? MgNbClO2


Among the records above, which one has the highest total energy? LiTbHg3S4